(1)
! Tb3Tl3Zn2 | Alexandria via LeMat-Bulk | PBE | relaxed; values from VASP
&SYSTEM
  ibrav = 0, nat = 8, ntyp = 3
/
ATOMIC_SPECIES
Tl 204.38 Tl.upf
Tb 158.93 Tb.upf
Zn 65.41 Zn.upf
CELL_PARAMETERS angstrom
3.831 0.000 0.000
0.000 6.740 -3.891
0.000 0.000 7.782
ATOMIC_POSITIONS crystal
Tl 0.000 0.000 0.252
Tb 0.500 0.000 0.607
Zn 0.000 0.333 0.667
Tl 0.000 0.252 0.000
Zn 0.000 0.667 0.333
Tb 0.500 0.607 0.000
Tl 0.000 0.748 0.748
Tb 0.500 0.393 0.393
! Magnetization = 0.0 μB/f.u.
! Density of states at the Fermi level = 7.0 states/eV per cell
! Symmetry = P-62m
! Energy of formation from the pure elements = -28.3 kJ per mole of atoms



(2)
! LiAg3Sn5 | Alexandria via LeMat-Bulk | PBE | relaxed; values from VASP
&SYSTEM
  ibrav = 0, nat = 18, ntyp = 3
/
ATOMIC_SPECIES
Sn 118.71 Sn.upf
Ag 107.87 Ag.upf
Li 6.94 Li.upf
CELL_PARAMETERS angstrom
7.821 0.269 0.187
2.400 7.449 0.187
3.259 2.461 8.699
ATOMIC_POSITIONS crystal
Sn 0.015 0.603 0.601
Ag 0.000 0.000 0.000
Sn 0.985 0.397 0.399
Ag 0.712 0.712 0.853
Ag 0.379 0.379 0.597
Sn 0.543 0.543 0.731
Sn 0.397 0.985 0.399
Ag 0.621 0.621 0.403
Ag 0.000 0.000 0.500
Ag 0.288 0.288 0.147
Li 0.864 0.864 0.324
Sn 0.704 0.296 0.000
Sn 0.457 0.457 0.269
Sn 0.603 0.015 0.601
Sn 0.767 0.767 0.091
Sn 0.233 0.233 0.909
Sn 0.296 0.704 0.000
Li 0.136 0.136 0.676
! Magnetization = 0.0 μB/f.u.
! Density of states at the Fermi level = 5.4 states/eV per cell
! Symmetry = C2/m
! Energy of formation from the pure elements = 11.3 kJ per mole of atoms



(3)
! Sr4Mg3Tl | Alexandria via LeMat-Bulk | PBE | relaxed; values from VASP
&SYSTEM
  ibrav = 0, nat = 8, ntyp = 3
/
ATOMIC_SPECIES
Sr 87.62 Sr.upf
Mg 24.30 Mg.upf
Tl 204.38 Tl.upf
CELL_PARAMETERS angstrom
4.127 0.000 0.000
0.000 4.127 0.000
0.000 0.000 16.932
ATOMIC_POSITIONS crystal
Sr 0.000 0.000 0.882
Mg 0.500 0.500 0.500
Mg 0.500 0.500 0.753
Tl 0.500 0.500 0.000
Sr 0.000 0.000 0.118
Sr 0.000 0.000 0.627
Mg 0.500 0.500 0.247
Sr 0.000 0.000 0.373
! Magnetization = 0.0 μB/f.u.
! Density of states at the Fermi level = 7.1 states/eV per cell
! Symmetry = P4/mmm
! Energy of formation from the pure elements = -14.9 kJ per mole of atoms



(4)
! MgBe2Al | Alexandria via LeMat-Bulk | PBE | relaxed; values from VASP
&SYSTEM
  ibrav = 0, nat = 8, ntyp = 3
/
ATOMIC_SPECIES
Be 9.01 Be.upf
Mg 24.30 Mg.upf
Al 26.98 Al.upf
CELL_PARAMETERS angstrom
4.155 0.000 0.000
0.000 4.155 0.000
2.078 2.078 8.011
ATOMIC_POSITIONS crystal
Be 0.875 0.625 0.250
Be 0.875 0.125 0.250
Be 0.375 0.125 0.750
Mg 0.500 0.500 0.000
Al 0.000 0.000 0.000
Mg 0.250 0.750 0.500
Al 0.750 0.250 0.500
Be 0.875 0.125 0.750
! Magnetization = 0.0 μB/f.u.
! Density of states at the Fermi level = 2.3 states/eV per cell
! Symmetry = I4_1/amd
! Energy above the lowest structure with this stoichiometry = 0.423 eV per atom
! Energy of formation from the pure elements = 45.5 kJ per mole of atoms



(5)
! HoPb2AuO5 | Alexandria via LeMat-Bulk | PBE | relaxed; values from VASP
&SYSTEM
  ibrav = 0, nat = 18, ntyp = 4
/
ATOMIC_SPECIES
O 16.00 O.upf
Au 196.97 Au.upf
Pb 207.20 Pb.upf
Ho 164.93 Ho.upf
CELL_PARAMETERS angstrom
3.493 0.000 0.000
-1.746 7.425 0.000
0.000 0.000 11.517
ATOMIC_POSITIONS crystal
O 0.374 0.749 0.080
Au 0.530 0.060 0.948
O 0.626 0.251 0.580
O 0.905 0.811 0.544
O 0.236 0.471 0.377
Pb 0.865 0.729 0.734
O 0.095 0.189 0.044
Pb 0.879 0.758 0.206
O 0.764 0.529 0.877
Pb 0.121 0.242 0.706
O 0.274 0.547 0.646
O 0.446 0.893 0.796
Ho 0.245 0.491 0.992
Pb 0.135 0.271 0.234
Au 0.470 0.940 0.448
Ho 0.755 0.509 0.492
O 0.554 0.107 0.296
O 0.726 0.453 0.146
! Magnetization = 0.0 μB/f.u.
! Density of states at the Fermi level = 4.9 states/eV per cell
! Symmetry = Cmc2_1
! Formation energy without anion corrections = -1.354 eV per atom



(6)
! K2SbAu | Alexandria via LeMat-Bulk | PBE | relaxed; values from VASP
&SYSTEM
  ibrav = 0, nat = 4, ntyp = 3
/
ATOMIC_SPECIES
Sb 121.76 Sb.upf
K 39.10 K.upf
Au 196.97 Au.upf
CELL_PARAMETERS angstrom
-3.473 1.685 3.333
0.227 -3.361 1.936
4.762 -0.972 5.454
ATOMIC_POSITIONS crystal
Sb 0.500 0.250 0.250
K 0.000 0.997 0.999
K 0.000 0.503 0.501
Au 0.500 0.750 0.750
! Magnetization = 0.0 μB/f.u.
! Density of states at the Fermi level = 1.6 states/eV per cell
! Symmetry = P2/m
! Formation energy without anion corrections = -0.218 eV per atom



The lowest density of states at the Fermi level belongs to which entry? K2SbAu



Which formula does entry 1 have? Tb3Tl3Zn2